No. 1
# Si2RuPt

An optimized crystal structure of Si2RuPt (PBE, Alexandria).

Summary:
Formation energy without anion corrections ... -2.16 eV per formula unit
Space-group type ... Pmm2, No. 25
D(E_F) ... 0.6214 states/eV per atom
Total magnetic moment ... 0.00 μB/f.u.

Cell lengths 3.084, 3.497, 5.209 Å; angles 90.00, 90.00, 90.00 degrees
Atoms (fractional coordinates):
Si  0.000  0.000  0.000
Si  0.500  0.500  0.307
Ru  0.500  0.500  0.842
Pt  0.000  0.000  0.476

***

No. 2
# Li2CeAu6

An optimized crystal structure of Li2CeAu6 (PBE, Alexandria).

Summary:
Space-group type ... P6/mmm, No. 191
ΔE_f ... -3.49 eV/f.u.
D(E_F) ... 1.2030 states/eV per atom
Energy above the lowest structure with this stoichiometry ... 76.4 meV/atom
Total magnetic moment ... 1.06 μB/f.u.

Cell lengths 5.551, 5.551, 7.590 Å; angles 90.00, 90.00, 120.00 degrees
Atoms (fractional coordinates):
Li  0.333  0.667  0.000
Li  0.667  0.333  0.000
Ce  0.000  0.000  0.500
Au  0.000  0.500  0.291
Au  0.000  0.500  0.709
Au  0.500  0.000  0.291
Au  0.500  0.000  0.709
Au  0.500  0.500  0.291
Au  0.500  0.500  0.709

***

No. 3
# Sc2PdI

An optimized crystal structure of Sc2PdI (PBE, Alexandria).

Summary:
Formation energy without anion corrections ... -1.39 eV per formula unit
Space-group type ... I-42d, No. 122
D(E_F) ... 0.4568 states/eV per atom
Energy above the lowest structure with this stoichiometry ... 258.2 meV/atom
Total magnetic moment ... 0.00 μB/f.u.

Cell lengths 6.346, 6.346, 6.346 Å; angles 108.16, 108.16, 112.12 degrees
Atoms (fractional coordinates):
Sc  0.089  0.625  0.964
Sc  0.375  0.339  0.464
Sc  0.661  0.125  0.036
Sc  0.875  0.911  0.536
Pd  0.000  0.000  0.000
Pd  0.750  0.250  0.500
I  0.250  0.750  0.500
I  0.500  0.500  0.000

***

No. 4
# NaCaScSn2

An optimized crystal structure of NaCaScSn2 (PBE, Alexandria).

Summary:
Space-group type ... P4/mmm, No. 123
ΔE_f ... 2.02 eV/f.u.
D(E_F) ... 0.6700 states/eV per atom
Total magnetic moment ... 0.51 μB/f.u.

Cell lengths 5.380, 5.380, 5.054 Å; angles 90.00, 90.00, 90.00 degrees
Atoms (fractional coordinates):
Na  0.000  0.000  0.000
Ca  0.000  0.000  0.500
Sc  0.500  0.500  0.500
Sn  0.000  0.500  0.000
Sn  0.500  0.000  0.000